1.
NdDy2Ni9: relaxed, GGA-PBE.

Computed properties:
- Spin magnetization: 2.32 μB/cell
- DFT formation energy: -4.70 eV per formula unit
- E_tot: -206.3 eV/cell

Cell lengths 4.9910, 4.9910, 24.3908 Å; angles 90.00, 90.00, 120.00 degrees
Space group R-3m (No. 166, hexagonal axes)
Inequivalent atoms, fractional coordinates:
Nd 0.0000 0.0000 0.0000 (multiplicity 3)
Dy 0.0000 0.0000 0.1396 (multiplicity 6)
Ni 0.0000 0.0000 0.3330 (multiplicity 6)
Ni 0.0000 0.0000 0.5000 (multiplicity 3)
Ni 0.0009 0.5004 0.9170 (multiplicity 18)


2.
NdDyNi4: relaxed, GGA-PBE.

Computed properties:
- E above lowest polymorph: 0.0000 eV/atom
- Spin magnetization: 0.00 μB/cell
- DFT formation energy: -2.27 eV per formula unit
- E_tot: -135.6 eV/cell

Cell lengths 7.1981, 7.1981, 7.1981 Å; angles 90.00, 90.00, 90.00 degrees
Space group F-43m (No. 216)
Inequivalent atoms, fractional coordinates:
Nd 0.0000 0.0000 0.0000 (multiplicity 4)
Dy 0.2500 0.2500 0.2500 (multiplicity 4)
Ni 0.1239 0.1239 0.6239 (multiplicity 16)